{
  "formula": "BaMg2Cu",
  "functional": "meta-GGA SCAN",
  "state": "PBEsol geometry",
  "sg": "P4/mmm, No. 123",
  "final_energy_ev_per_atom": -15.91,
  "ef_ev_per_atom": 0.26,
  "n_ef_per_ev_atom": 0.65,
  "lattice_angstrom": [[4.4430, 0.0000, 0.0000], [0.0000, 4.4430, 0.0000], [0.0000, 0.0000, 5.5036]],
  "species": ["Ba", "Mg", "Mg", "Cu"],
  "fractional_positions": [[0.0000, 0.0000, 0.0000], [0.0000, 0.5000, 0.5000], [0.5000, 0.0000, 0.5000], [0.5000, 0.5000, 0.0000]]
}

---

{
  "formula": "La3Y",
  "functional": "meta-GGA SCAN",
  "state": "PBEsol geometry",
  "sg": "P6_3/mmc, No. 194",
  "final_energy_ev_per_atom": -39.26,
  "ef_ev_per_atom": 0.03,
  "n_ef_per_ev_atom": 1.38,
  "lattice_angstrom": [[7.2855, 0.0000, 0.0000], [-3.6427, 6.3094, 0.0000], [0.0000, 0.0000, 5.8662]],
  "species": ["La", "La", "La", "La", "La", "La", "Y", "Y"],
  "fractional_positions": [[0.1675, 0.3350, 0.2500], [0.1675, 0.8325, 0.2500], [0.3350, 0.1675, 0.7500], [0.6650, 0.8325, 0.2500], [0.8325, 0.1675, 0.7500], [0.8325, 0.6650, 0.7500], [0.3333, 0.6667, 0.7500], [0.6667, 0.3333, 0.2500]]
}

---

{
  "formula": "HoInPt2",
  "functional": "meta-GGA SCAN",
  "state": "PBEsol geometry",
  "sg": "P6_3/mmc, No. 194",
  "final_energy_ev_per_atom": -56.82,
  "ef_ev_per_atom": -1.13,
  "n_ef_per_ev_atom": 0.51,
  "lattice_angstrom": [[4.5138, 0.0000, 0.0000], [-2.2569, 3.9091, 0.0000], [0.0000, 0.0000, 8.8276]],
  "species": ["Ho", "Ho", "In", "In", "Pt", "Pt", "Pt", "Pt"],
  "fractional_positions": [[0.3333, 0.6667, 0.2500], [0.6667, 0.3333, 0.7500], [0.0000, 0.0000, 0.0000], [0.0000, 0.0000, 0.5000], [0.3333, 0.6667, 0.5912], [0.3333, 0.6667, 0.9088], [0.6667, 0.3333, 0.0912], [0.6667, 0.3333, 0.4088]]
}

---

{
  "formula": "CsLiP2O",
  "functional": "meta-GGA SCAN",
  "state": "PBEsol geometry",
  "formation_energy_uncorrected_ev_per_atom": 1.24,
  "sg": "P4/mmm, No. 123",
  "final_energy_ev_per_atom": -12.21,
  "n_ef_per_ev_atom": 0.67,
  "lattice_angstrom": [[5.6546, 0.0000, 0.0000], [0.0000, 5.6546, 0.0000], [0.0000, 0.0000, 4.3990]],
  "species": ["Cs", "Li", "P", "P", "O"],
  "fractional_positions": [[0.0000, 0.0000, 0.0000], [0.5000, 0.5000, 0.5000], [0.0000, 0.5000, 0.0000], [0.5000, 0.0000, 0.0000], [0.0000, 0.0000, 0.5000]]
}

---

{
  "formula": "SrZr2Se",
  "functional": "meta-GGA SCAN",
  "state": "PBEsol geometry",
  "formation_energy_uncorrected_ev_per_atom": -0.13,
  "sg": "C2/m, No. 12",
  "final_energy_ev_per_atom": -26.06,
  "n_ef_per_ev_atom": 0.86,
  "lattice_angstrom": [[2.9876, -5.5968, 0.0000], [2.9876, 5.5968, 0.0000], [-2.1681, 0.0000, 2.8922]],
  "species": ["Sr", "Zr", "Zr", "Se"],
  "fractional_positions": [[0.0000, 0.0000, 0.0000], [0.0000, 0.5000, 0.5000], [0.5000, 0.0000, 0.5000], [0.5000, 0.5000, 0.0000]]
}

---

{
  "formula": "KInRe",
  "functional": "meta-GGA SCAN",
  "state": "PBEsol geometry",
  "sg": "F-43m, No. 216",
  "final_energy_ev_per_atom": -35.40,
  "ef_ev_per_atom": 2.20,
  "n_ef_per_ev_atom": 0.28,
  "lattice_angstrom": [[0.0000, 3.5211, 3.5211], [3.5211, 0.0000, 3.5211], [3.5211, 3.5211, 0.0000]],
  "species": ["K", "In", "Re"],
  "fractional_positions": [[0.0000, 0.0000, 0.0000], [0.2500, 0.2500, 0.2500], [0.7500, 0.7500, 0.7500]]
}